[1]
DFT (GGA-PBEsol) results for CaAuCl after structural relaxation.

abc: 3.9466 3.9466 5.8295
angles: 90.00 90.00 120.00
Closest atoms and distances in Å follow each position.
Positions (direct):
Ca1 0.3333 0.6667 0.6501  3 Cl 2.73, 3 Au 2.90
Cl1 0.6667 0.3333 0.3917  3 Ca 2.73
Au1 0.0000 0.0000 0.9582  3 Ca 2.90

distance to the lowest polymorph of the same formula: 0.000 eV/atom
total energy: -3.8723 eV per atom
spin magnetization: 0.00 μB/f.u.
volume: 79 Å³/cell
formation energy (no corrections): -114.2 kJ/mol of atoms

[2]
DFT (GGA-PBEsol) results for Al2TeSe after structural relaxation.

abc: 3.9880 4.8697 4.8697
angles: 109.50 90.00 90.00
Closest atoms and distances in Å follow each position.
Positions (direct):
Te1 0.5000 0.0000 0.0000  2 Se 2.81, 4 Al 2.88
Al1 0.0000 0.2609 0.7391  2 Se 2.76, 2 Al 2.82, 2 Te 2.88
Al2 0.0000 0.7391 0.2609  2 Se 2.76, 2 Al 2.82, 2 Te 2.88
Se1 0.5000 0.5000 0.5000  4 Al 2.76, 2 Te 2.81

distance to the lowest polymorph of the same formula: 0.210 eV/atom
total energy: -4.0029 eV per atom
spin magnetization: 0.00 μB/f.u.
volume: 89 Å³/cell
formation energy (no corrections): -10.9 kJ/mol of atoms

[3]
DFT (GGA-PBEsol) results for Sn2PdRh2 after structural relaxation.

abc: 3.0238 7.4579 7.4579
angles: 90.00 90.00 90.00
Closest atoms and distances in Å follow each position.
Positions (direct):
Rh1 0.5000 0.1387 0.6387  6 Sn 2.62-2.69, 1 Rh 2.92
Pd1 0.0000 0.5000 0.5000  4 Sn 2.81, 2 Pd 3.02
Sn1 0.0000 0.8410 0.6590  6 Rh 2.62-2.69, 2 Pd 2.81
Pd2 0.0000 0.0000 0.0000  4 Sn 2.81, 2 Pd 3.02
Sn2 0.0000 0.6590 0.1590  6 Rh 2.62-2.69, 2 Pd 2.81
Sn3 0.0000 0.3410 0.8410  6 Rh 2.62-2.69, 2 Pd 2.81
Rh2 0.5000 0.6387 0.8613  6 Sn 2.62-2.69, 1 Rh 2.92
Rh3 0.5000 0.8613 0.3613  6 Sn 2.62-2.69, 1 Rh 2.92
Sn4 0.0000 0.1590 0.3410  6 Rh 2.62-2.69, 2 Pd 2.81
Rh4 0.5000 0.3613 0.1387  6 Sn 2.62-2.69, 1 Rh 2.92

total energy: -6.5219 eV per atom
energy of formation from the pure elements: -0.371 eV per atom
spin magnetization: 0.00 μB/f.u.
volume: 168 Å³/cell

[4]
DFT (GGA-PBEsol) results for BiMoO3 after structural relaxation.

abc: 3.9755 3.9755 3.9755
angles: 90.00 90.00 90.00
Closest atoms and distances in Å follow each position.
Positions (direct):
Mo1 0.0000 0.0000 0.0000  6 O 1.99
Bi1 0.5000 0.5000 0.5000  12 O 2.81
O1 0.0000 0.0000 0.5000  2 Mo 1.99
O2 0.5000 0.0000 0.0000  2 Mo 1.99
O3 0.0000 0.5000 0.0000  2 Mo 1.99

total energy: -7.6408 eV per atom
spin magnetization: 0.00 μB/f.u.
volume: 63 Å³/cell
formation energy (no corrections): -123.6 kJ/mol of atoms

[5]
DFT (GGA-PBEsol) results for Hf2ZrMnAs after structural relaxation.

abc: 4.5197 4.7496 4.7496
angles: 90.00 90.00 90.00
Closest atoms and distances in Å follow each position.
Positions (direct):
Mn1 0.0000 0.0000 0.0000  2 Zr 2.26, 4 Hf 2.37
As1 0.5000 0.5000 0.5000  8 Hf 3.28, 4 Zr 3.36
Hf1 0.0000 0.5000 0.0000  2 Mn 2.37
Hf2 0.0000 0.0000 0.5000  2 Mn 2.37
Zr1 0.5000 0.0000 0.0000  2 Mn 2.26

total energy: -8.7737 eV per atom
energy of formation from the pure elements: 0.219 eV per atom
spin magnetization: 0.00 μB/f.u.
volume: 102 Å³/cell

[6]
DFT (GGA-PBEsol) results for Mg2InAg after structural relaxation.

abc: 3.3206 3.3798 7.1368
angles: 90.00 90.00 90.00
Closest atoms and distances in Å follow each position.
Positions (direct):
Mg1 0.0000 0.0000 0.2216  4 Ag 2.85, 4 In 3.09, 1 Mg 3.16
Mg2 0.0000 0.0000 0.7784  4 Ag 2.85, 4 In 3.09, 1 Mg 3.16
Ag1 0.5000 0.5000 0.0000  8 Mg 2.85
In1 0.5000 0.5000 0.5000  8 Mg 3.09, 4 In 3.32-3.38

total energy: -2.6002 eV per atom
energy of formation from the pure elements: -0.168 eV per atom
spin magnetization: 0.00 μB/f.u.
volume: 80 Å³/cell

[7]
DFT (GGA-PBEsol) results for Sr3HfB after structural relaxation.

abc: 5.8999 5.8999 5.8999
angles: 90.00 90.00 90.00
Closest atoms and distances in Å follow each position.
Positions (direct):
B1 0.5000 0.5000 0.5000  12 Sr 4.17
Sr1 0.5000 0.0000 0.0000  2 Hf 2.95
Sr2 0.0000 0.5000 0.0000  2 Hf 2.95
Sr3 0.0000 0.0000 0.5000  2 Hf 2.95
Hf1 0.0000 0.0000 0.0000  6 Sr 2.95

total energy: -2.7408 eV per atom
energy of formation from the pure elements: 1.867 eV per atom
spin magnetization: 1.01 μB/f.u.
volume: 205 Å³/cell

[8]
DFT (GGA-PBEsol) results for Mg2BeRu after structural relaxation.

abc: 2.8230 2.8230 8.8591
angles: 80.83 80.83 60.00
Closest atoms and distances in Å follow each position.
Positions (direct):
Mg1 0.2501 0.2501 0.2497  3 Be 2.72, 3 Ru 2.72, 6 Mg 2.82
Ru1 0.5000 0.5000 0.5000  6 Mg 2.72, 6 Ru 2.82
Be1 0.0000 0.0000 0.0000  6 Mg 2.72, 6 Be 2.82
Mg2 0.7499 0.7499 0.7503  3 Be 2.72, 3 Ru 2.72, 6 Mg 2.82

total energy: -4.0056 eV per atom
energy of formation from the pure elements: 0.396 eV per atom
spin magnetization: 0.00 μB/f.u.
volume: 60 Å³/cell

[9]
DFT (GGA-PBEsol) results for ReAg2As after structural relaxation.

abc: 2.9546 4.3426 5.5688
angles: 112.95 105.38 90.00
Closest atoms and distances in Å follow each position.
Positions (direct):
Re1 0.0000 0.5000 0.0000  4 As 2.63
As1 0.5000 0.0000 0.0000  4 Re 2.63, 4 Ag 2.76
Ag1 0.7627 0.7627 0.5253  4 Ag 2.64, 2 As 2.76
Ag2 0.2374 0.2374 0.4747  4 Ag 2.64, 2 As 2.76

total energy: -5.7508 eV per atom
energy of formation from the pure elements: 0.514 eV per atom
spin magnetization: 0.00 μB/f.u.
volume: 63 Å³/cell

[10]
DFT (GGA-PBEsol) results for CaZrW2 after structural relaxation.

abc: 2.7558 4.5903 6.1676
angles: 90.00 90.00 90.00
Closest atoms and distances in Å follow each position.
Positions (direct):
Ca1 0.5000 0.5000 0.7562  2 Ca 2.76, 1 W 2.92
W1 0.5000 0.5000 0.2304  6 W 2.76-2.92, 1 Ca 2.92, 4 Zr 3.07
Zr1 0.0000 0.0000 0.4739  1 W 2.68, 2 Zr 2.76
W2 0.0000 0.0000 0.0395  1 Zr 2.68, 6 W 2.76-2.92

distance to the lowest polymorph of the same formula: 0.336 eV/atom
total energy: -8.9535 eV per atom
energy of formation from the pure elements: 0.756 eV per atom
spin magnetization: 0.00 μB/f.u.
volume: 78 Å³/cell